DFT (PBE) results for Mg2TlSbRh after structural relaxation.

POSCAR file:
```
Mg2TlSbRh
1.0
5.097 0.000 0.000
0.000 5.097 0.000
0.000 0.000 4.960
Sb Tl Rh Mg
1 1 1 2
direct
0.000 0.000 0.500
0.500 0.500 0.500
0.000 0.000 0.000
0.000 0.500 0.000
0.500 0.000 0.000
```

Computed properties:
DFT total energy: -3.593 eV per atom
DOS at the Fermi energy: 0.710 states/eV/atom
space group: P4/mmm
ΔE_f (raw): -186.8 meV/atom
crystal system: tetragonal